Computed, not measured: NaYNiF6 after structural relaxation at the PBE+U level of DFT.

a b c (Å): 5.625 5.625 9.540
angles (deg): 90.00 90.00 120.00
Atoms (fractional coordinates):
Na1 0.000 0.000 0.000
Na2 0.000 0.000 0.500
Y1 0.333 0.667 0.250
Y2 0.667 0.333 0.750
Ni1 0.333 0.667 0.750
Ni2 0.667 0.333 0.250
F1 0.022 0.366 0.635
F2 0.022 0.656 0.865
F3 0.344 0.366 0.865
F4 0.344 0.978 0.635
F5 0.366 0.022 0.135
F6 0.366 0.344 0.365
F7 0.634 0.656 0.635
F8 0.634 0.978 0.865
F9 0.656 0.022 0.365
F10 0.656 0.634 0.135
F11 0.978 0.344 0.135
F12 0.978 0.634 0.365

Values from the calculation:
DFT total energy   -5.525 eV per atom
Calculated density   3.615 Mg/m³